Ba2ZnSi (GGA-PBEsol, optimized geometry); energy above the lowest structure with this stoichiometry = 20.9 meV per atom; total magnetic moment = 0.00 μB/f.u.; DOS(E_F) = 0.63 states/eV per atom; formation energy from raw total energies = -247 meV/atom; volume = 28.8 Å³ per atom
1.0
-2.065 2.725 5.116
2.065 -2.725 5.116
2.065 2.725 -5.116
Ba Zn Si
2 1 1
direct
0.000 0.000 0.000
0.691 0.191 0.500
0.403 0.403 0.000
0.278 0.778 0.500

***

Ba3ZnSi (GGA-PBEsol, optimized geometry); energy above the lowest structure with this stoichiometry = 0.0 meV per atom; total magnetic moment = 0.01 μB/f.u.; DOS(E_F) = 1.61 states/eV per atom; formation energy from raw total energies = 166 meV/atom; volume = 50.1 Å³ per atom
1.0
6.304 0.000 0.000
0.000 6.304 0.000
0.000 0.000 6.304
Ba Zn Si
3 1 1
direct
0.000 0.000 0.500
0.000 0.500 0.000
0.500 0.000 0.000
0.500 0.500 0.500
0.000 0.000 0.000

***

Ba2ZnSi (GGA-PBEsol, optimized geometry); energy above the lowest structure with this stoichiometry = 55.0 meV per atom; total magnetic moment = 0.00 μB/f.u.; DOS(E_F) = 0.07 states/eV per atom; formation energy from raw total energies = -213 meV/atom; volume = 31.3 Å³ per atom
1.0
0.000 3.971 3.971
3.971 0.000 3.971
3.971 3.971 0.000
Ba Zn Si
2 1 1
direct
0.250 0.250 0.250
0.750 0.750 0.750
0.000 0.000 0.000
0.500 0.500 0.500

***

Ba4ZnSi (GGA-PBEsol, optimized geometry); total magnetic moment = 0.00 μB/f.u.; DOS(E_F) = 1.15 states/eV per atom; formation energy from raw total energies = 604 meV/atom; volume = 38.5 Å³ per atom
1.0
0.000 4.868 4.868
4.868 0.000 4.868
4.868 4.868 0.000
Ba Zn Si
4 1 1
direct
0.376 0.376 0.376
0.376 0.376 0.872
0.376 0.872 0.376
0.872 0.376 0.376
0.000 0.000 0.000
0.750 0.750 0.750

***

BaZrSi2 (GGA-PBEsol, optimized geometry); energy above the lowest structure with this stoichiometry = 481.4 meV per atom; total magnetic moment = 0.00 μB/f.u.; DOS(E_F) = 0.58 states/eV per atom; formation energy from raw total energies = 6 meV/atom; volume = 22.1 Å³ per atom
1.0
3.842 -3.855 0.000
3.842 3.855 0.000
0.000 0.000 2.984
Ba Zr Si
1 1 2
direct
0.000 0.000 0.000
0.500 0.500 0.000
0.000 0.500 0.500
0.500 0.000 0.500

***

BaZrSi (GGA-PBEsol, optimized geometry); total magnetic moment = 0.00 μB/f.u.; DOS(E_F) = 0.83 states/eV per atom; formation energy from raw total energies = 21 meV/atom; volume = 26.0 Å³ per atom
1.0
-1.636 1.636 7.275
1.636 -1.636 7.275
1.636 1.636 -7.275
Ba Zr Si
1 1 1
direct
0.000 0.000 0.000
0.272 0.272 0.000
0.662 0.662 0.000

***

Ba4ZrSi (GGA-PBEsol, optimized geometry); total magnetic moment = 3.66 μB/f.u.; DOS(E_F) = 1.38 states/eV per atom; formation energy from raw total energies = 873 meV/atom; volume = 37.8 Å³ per atom
1.0
0.000 4.839 4.839
4.839 0.000 4.839
4.839 4.839 0.000
Ba Zr Si
4 1 1
direct
0.376 0.376 0.376
0.376 0.376 0.872
0.376 0.872 0.376
0.872 0.376 0.376
0.000 0.000 0.000
0.750 0.750 0.750

***

Ba2ZrSi (GGA-PBEsol, optimized geometry); total magnetic moment = 0.60 μB/f.u.; DOS(E_F) = 1.15 states/eV per atom; formation energy from raw total energies = 362 meV/atom; volume = 28.3 Å³ per atom
1.0
-2.304 2.304 5.338
2.304 -2.304 5.338
2.304 2.304 -5.338
Ba Zr Si
2 1 1
direct
0.249 0.249 0.000
0.751 0.751 0.000
0.500 0.000 0.500
0.000 0.500 0.500

***

BaZr2Si (GGA-PBEsol, optimized geometry); total magnetic moment = 0.00 μB/f.u.; DOS(E_F) = 1.21 states/eV per atom; formation energy from raw total energies = 365 meV/atom; volume = 23.6 Å³ per atom
1.0
3.236 -5.172 0.000
3.236 5.172 0.000
-1.505 0.000 2.816
Ba Zr Si
1 2 1
direct
0.000 0.000 0.000
0.000 0.500 0.500
0.500 0.000 0.500
0.500 0.500 0.000

***

BaZrSi2 (GGA-PBEsol, optimized geometry); energy above the lowest structure with this stoichiometry = 0.0 meV per atom; total magnetic moment = 0.00 μB/f.u.; DOS(E_F) = 0.67 states/eV per atom; formation energy from raw total energies = -475 meV/atom; volume = 22.6 Å³ per atom
1.0
3.643 0.000 0.000
0.000 3.643 0.000
0.000 0.000 6.826
Ba Zr Si
1 1 2
direct
0.000 0.000 0.000
0.000 0.000 0.500
0.500 0.500 0.327
0.500 0.500 0.673

***

BaZrSi2 (GGA-PBEsol, optimized geometry); energy above the lowest structure with this stoichiometry = 916.5 meV per atom; total magnetic moment = 0.00 μB/f.u.; DOS(E_F) = 0.93 states/eV per atom; formation energy from raw total energies = 441 meV/atom; volume = 21.2 Å³ per atom
1.0
0.000 3.488 3.488
3.488 0.000 3.488
3.488 3.488 0.000
Ba Zr Si
1 1 2
direct
0.000 0.000 0.000
0.250 0.250 0.250
0.500 0.500 0.500
0.750 0.750 0.750

***

BaZr2Si (GGA-PBEsol, optimized geometry); total magnetic moment = 0.00 μB/f.u.; DOS(E_F) = 0.98 states/eV per atom; formation energy from raw total energies = 280 meV/atom; volume = 22.7 Å³ per atom
1.0
-2.228 2.228 4.582
2.228 -2.228 4.582
2.228 2.228 -4.582
Ba Zr Si
1 2 1
direct
0.000 0.000 0.000
0.250 0.750 0.500
0.500 0.500 0.000
0.750 0.250 0.500

***

| no. | total energy (eV per atom) |
| --- | --- |
| 1 | -3.154 |
| 2 | -2.589 |
| 3 | -3.119 |
| 4 | -2.051 |
| 5 | -5.677 |
| 6 | -5.641 |
| 7 | -3.032 |
| 8 | -4.422 |
| 9 | -6.153 |
| 10 | -6.158 |
| 11 | -5.242 |
| 12 | -6.239 |